A plane-wave DFT calculation with GGA-PBE was carried out for a geometry-optimized AgSbW2 structure. Values from VASP.

Structure (Quantum ESPRESSO input):
```
&SYSTEM
  ibrav = 0, nat = 4, ntyp = 3
/
ATOMIC_SPECIES
Ag 107.87 Ag.upf
Sb 121.76 Sb.upf
W 183.84 W.upf
ATOMIC_POSITIONS crystal
Ag 0.000 0.000 0.000
Sb 0.250 0.750 0.500
W 0.500 0.500 0.000
W 0.750 0.250 0.500
CELL_PARAMETERS angstrom
-2.101 2.101 3.989
2.101 -2.101 3.989
2.101 2.101 -3.989
```

Computed properties:
Energy ... -29.9 eV per formula unit
ΔE_f (raw) ... 0.738 eV/atom
Magnetization ... 0.00 μB/cell